[1]
Material: MgAs2F8
Method: DFT, PBE
State: relaxed

ΔE to the lowest computed polymorph: 0.0 meV per atom
calculated density: 2.9 g cm⁻³
energy relative to the elements, uncorrected: -2439.6 meV per atom

a b c (Å): 13.991 5.948 10.305
angles (deg): 90.00 119.94 90.00
Space group C2/c (No. 15)
Inequivalent atoms, fractional coordinates:
Mg 0.000 0.138 0.250 [4 per cell]
As 0.131 0.164 0.630 [8 per cell]
F 0.011 0.135 0.903 [8 per cell]
F 0.057 0.321 0.434 [8 per cell]
F 0.151 0.052 0.296 [8 per cell]
F 0.152 0.409 0.738 [8 per cell]

***

[2]
Material: CoRu2
Method: DFT, PBE
State: relaxed

formation energy from the elements: 440 meV/atom
calculated density: 10.9 g cm⁻³

a b c (Å): 6.2486 6.2486 3.5401
angles (deg): 90.00 90.00 120.00
Space group P-62m (No. 189)
Inequivalent atoms, fractional coordinates:
Co 0.0000 0.0000 0.0000 [1 per cell]
Co 0.3333 0.6667 0.5000 [2 per cell]
Ru 0.0000 0.2575 0.5000 [3 per cell]
Ru 0.0000 0.5986 0.0000 [3 per cell]

***

[3]
Material: Rb2SbPb2
Method: DFT, PBE
State: relaxed

ΔE to the lowest computed polymorph: 0.0 meV per atom
calculated density: 5.6 g cm⁻³
energy relative to the elements, uncorrected: -196.5 meV per atom

a b c (Å): 13.013 5.848 12.580
angles (deg): 90.00 119.48 90.00
Space group C2/m (No. 12)
Inequivalent atoms, fractional coordinates:
Rb 0.008 0.000 0.180 [4 per cell]
Rb 0.185 0.000 0.616 [4 per cell]
Sb 0.209 0.500 0.840 [4 per cell]
Pb 0.032 0.500 0.398 [4 per cell]
Pb 0.158 0.500 0.053 [4 per cell]

***

[4]
Material: ReAgAs2
Method: DFT, PBE
State: relaxed

formation energy from the elements: 468 meV/atom
ΔE to the lowest computed polymorph: 316.7 meV per atom
calculated density: 10.9 g cm⁻³

a b c (Å): 3.172 4.081 5.246
angles (deg): 90.00 90.00 90.00
Space group Pmm2 (No. 25)
Inequivalent atoms, fractional coordinates:
Re 0.000 0.000 0.000 [1 per cell]
Ag 0.500 0.500 0.330 [1 per cell]
As 0.000 0.000 0.489 [1 per cell]
As 0.500 0.500 0.845 [1 per cell]

***

[5]
Material: CsBe2C2
Method: DFT, PBE
State: relaxed

formation energy from the elements: 1269 meV/atom
ΔE to the lowest computed polymorph: 308.0 meV per atom
calculated density: 3.2 g cm⁻³

a b c (Å): 7.906 7.906 2.933
angles (deg): 90.00 90.00 90.00
Space group P4/mbm (No. 127)
Inequivalent atoms, fractional coordinates:
Cs 0.000 0.000 0.000 [2 per cell]
Be 0.087 0.413 0.000 [4 per cell]
C 0.065 0.565 0.500 [4 per cell]

***

[6]
Material: Cs2RbLaC
Method: DFT, PBE
State: relaxed

formation energy from the elements: 723 meV/atom
calculated density: 2.4 g cm⁻³

a b c (Å): 8.829 8.829 4.463
angles (deg): 90.00 90.00 90.00
Space group P4/mmm (No. 123)
Inequivalent atoms, fractional coordinates:
Cs 0.000 0.500 0.000 [2 per cell]
Rb 0.000 0.000 0.500 [1 per cell]
La 0.500 0.500 0.000 [1 per cell]
C 0.500 0.500 0.500 [1 per cell]

***

[7]
Material: Be2Ni2Hg
Method: DFT, PBE
State: relaxed

formation energy from the elements: 117 meV/atom
ΔE to the lowest computed polymorph: 193.4 meV per atom
calculated density: 9.0 g cm⁻³

a b c (Å): 3.371 3.371 10.936
angles (deg): 90.00 90.00 90.00
Space group I4/mmm (No. 139)
Inequivalent atoms, fractional coordinates:
Be 0.000 0.500 0.250 [4 per cell]
Ni 0.000 0.000 0.117 [4 per cell]
Hg 0.000 0.000 0.500 [2 per cell]

***

[8]
Material: SnB2Br
Method: DFT, PBE
State: relaxed

ΔE to the lowest computed polymorph: 0.0 meV per atom
calculated density: 4.6 g cm⁻³
energy relative to the elements, uncorrected: 1196.2 meV per atom

a b c (Å): 5.339 5.339 11.134
angles (deg): 90.00 90.00 90.00
Space group I-42d (No. 122)
Inequivalent atoms, fractional coordinates:
Sn 0.000 0.000 0.000 [4 per cell]
B 0.225 0.250 0.125 [8 per cell]
Br 0.000 0.000 0.500 [4 per cell]

***

[9]
Material: NbAl5
Method: DFT, PBE
State: relaxed

formation energy from the elements: -166 meV/atom
calculated density: 3.9 g cm⁻³

a b c (Å): 3.927 12.843 3.862
angles (deg): 90.00 90.00 90.00
Space group Cmmm (No. 65)
Inequivalent atoms, fractional coordinates:
Nb 0.000 0.000 0.000 [2 per cell]
Al 0.000 0.170 0.500 [4 per cell]
Al 0.000 0.337 0.000 [4 per cell]
Al 0.000 0.500 0.500 [2 per cell]

***

[10]
Material: CrHSe2
Method: DFT, PBE
State: relaxed

ΔE to the lowest computed polymorph: 613.4 meV per atom
calculated density: 6.0 g cm⁻³

a b c (Å): 6.356 6.356 5.760
angles (deg): 90.00 90.00 90.00
Space group I4/mcm (No. 140)
Inequivalent atoms, fractional coordinates:
Cr 0.000 0.000 0.250 [4 per cell]
H 0.000 0.500 0.250 [4 per cell]
Se 0.176 0.324 0.000 [8 per cell]

***

[11]
Material: LaSiIr4
Method: DFT, PBE
State: relaxed

calculated density: 14.4 g cm⁻³
energy relative to the elements, uncorrected: -124.6 meV per atom

a b c (Å): 7.558 7.558 7.558
angles (deg): 90.00 90.00 90.00
Space group F-43m (No. 216)
Inequivalent atoms, fractional coordinates:
La 0.000 0.000 0.000 [4 per cell]
Si 0.250 0.250 0.750 [4 per cell]
Ir 0.124 0.124 0.376 [16 per cell]

***

[12]
Material: LaPr3S4
Method: DFT, PBE
State: relaxed

ΔE to the lowest computed polymorph: 0.0 meV per atom
calculated density: 5.8 g cm⁻³
energy relative to the elements, uncorrected: -2063.9 meV per atom

a b c (Å): 7.153 8.183 7.154
angles (deg): 90.00 109.41 90.00
Space group P2/c (No. 13)
Inequivalent atoms, fractional coordinates:
La 0.000 0.126 0.250 [2 per cell]
Pr 0.000 0.376 0.750 [2 per cell]
Pr 0.500 0.126 0.750 [2 per cell]
Pr 0.500 0.376 0.250 [2 per cell]
S 0.251 0.125 0.000 [4 per cell]
S 0.251 0.376 0.501 [4 per cell]

***

M_tot (computed, Bohr magnetons per cell): 0.0 0.8 0.0 0.0 0.0 0.0 0.0 3.0 0.0 12.0 0.0 0.0
N(E_F) (computed, states/eV/atom): 0.000 1.768 0.386 0.713 0.234 1.302 0.355 0.497 0.585 0.371 1.317 0.499
Total DFT energy (no corrections) (computed, eV/atom): -4.79 -8.11 -2.89 -5.68 -4.08 -2.64 -3.75 -3.56 -4.96 -4.71 -7.76 -6.54